Entry 1:
# NaTaAl2

Crystalline NaTaAl2 at its relaxed geometry (GGA-PBE, Alexandria via LeMat-Bulk).

Properties
Distance to the lowest polymorph of the same formula: 350 meV per atom
Total magnetic moment: 0.00 μB per formula unit
Formation energy from the elements: 0.742 eV/atom
Mass density: 5.46 Mg/m³

Cell: 7.261 7.261 5.955 Å, 90.00 90.00 90.00°
Space group I-42d (No. 122)
Symmetry-distinct sites (fractional):
Na 0.000 0.000 0.000 (multiplicity 4)
Ta 0.000 0.000 0.500 (multiplicity 4)
Al 0.249 0.750 0.125 (multiplicity 8)

Entry 2:
# NaTaAl2

Crystalline NaTaAl2 at its relaxed geometry (GGA-PBE, Alexandria via LeMat-Bulk).

Properties
Distance to the lowest polymorph of the same formula: 0 meV per atom
Total magnetic moment: 0.00 μB per formula unit
Formation energy from the elements: 0.392 eV/atom
Mass density: 5.88 Mg/m³

Cell: 6.628 6.628 6.628 Å, 90.00 90.00 90.00°
Space group Fm-3m (No. 225)
Symmetry-distinct sites (fractional):
Na 0.000 0.000 0.000 (multiplicity 4)
Ta 0.000 0.000 0.500 (multiplicity 4)
Al 0.250 0.250 0.250 (multiplicity 8)

Entry 3:
# NaTa3Al

Crystalline NaTa3Al at its relaxed geometry (GGA-PBE, Alexandria via LeMat-Bulk).

Properties
Distance to the lowest polymorph of the same formula: 627 meV per atom
Total magnetic moment: 0.00 μB per formula unit
Formation energy from the elements: 2.140 eV/atom
Mass density: 9.84 Mg/m³

Cell: 4.643 4.643 4.643 Å, 90.00 90.00 90.00°
Space group Pm-3m (No. 221)
Symmetry-distinct sites (fractional):
Na 0.000 0.000 0.000 (multiplicity 1)
Ta 0.000 0.000 0.500 (multiplicity 3)
Al 0.500 0.500 0.500 (multiplicity 1)

Entry 4:
# NaTaAl3

Crystalline NaTaAl3 at its relaxed geometry (GGA-PBE, Alexandria via LeMat-Bulk).

Properties
Distance to the lowest polymorph of the same formula: 0 meV per atom
Total magnetic moment: 0.00 μB per formula unit
Formation energy from the elements: 0.596 eV/atom
Mass density: 3.52 Mg/m³

Cell: 5.122 5.122 5.122 Å, 90.00 90.00 90.00°
Space group Pm-3m (No. 221)
Symmetry-distinct sites (fractional):
Na 0.000 0.000 0.000 (multiplicity 1)
Ta 0.500 0.500 0.500 (multiplicity 1)
Al 0.000 0.500 0.500 (multiplicity 3)

Entry 5:
# Na4TaAl2

Crystalline Na4TaAl2 at its relaxed geometry (GGA-PBE, Alexandria via LeMat-Bulk).

Properties
Total magnetic moment: 4.40 μB per formula unit
Formation energy from the elements: 1.169 eV/atom
Mass density: 2.13 Mg/m³

Cell: 5.826 5.826 15.007 Å, 90.00 90.00 90.00°
Space group I4/mmm (No. 139)
Symmetry-distinct sites (fractional):
Na 0.000 0.000 0.211 (multiplicity 4)
Na 0.000 0.500 0.000 (multiplicity 4)
Ta 0.000 0.000 0.000 (multiplicity 2)
Al 0.000 0.000 0.414 (multiplicity 4)

Entry 6:
# NaTa3Al

Crystalline NaTa3Al at its relaxed geometry (GGA-PBE, Alexandria via LeMat-Bulk).

Properties
Distance to the lowest polymorph of the same formula: 0 meV per atom
Total magnetic moment: 0.00 μB per formula unit
Formation energy from the elements: 1.512 eV/atom
Mass density: 8.77 Mg/m³

Cell: 4.825 4.825 4.825 Å, 90.00 90.00 90.00°
Space group Pm-3m (No. 221)
Symmetry-distinct sites (fractional):
Na 0.000 0.000 0.000 (multiplicity 1)
Ta 0.000 0.500 0.500 (multiplicity 3)
Al 0.500 0.500 0.500 (multiplicity 1)